## YTa2W (PBE-GGA)

Data for a geometry-optimized YTa2W structure.

Values from the calculation:
Space group: Imm2, No. 44
Calculated volume: 19.97 Å³/atom
Size of the total moment: 0.000 μB/cell
Formation energy: 0.3889 eV per atom
Density: 13.19 g/cm3

Geometry as CIF:
```
data_YTa2W
_symmetry_space_group_name_H-M 'P 1'
_symmetry_Int_Tables_number 1
_symmetry_space_group_name_Hall 'P 1'
_cell_length_a 5.731
_cell_length_b 5.731
_cell_length_c 5.731
_cell_angle_alpha 145.95
_cell_angle_beta 130.01
_cell_angle_gamma 61.87
loop_
_atom_site_label
_atom_site_fract_x
_atom_site_fract_y
_atom_site_fract_z
_atom_site_occupancy
Ta1 0.725 0.225 0.500 1
Ta2 0.995 0.995 0.000 1
Y1 0.262 0.762 0.500 1
W1 0.517 0.517 0.000 1
```

***

## Y3TaW (PBE-GGA)

Data for a geometry-optimized Y3TaW structure.

Values from the calculation:
Space group: Pm-3m, No. 221
Calculated volume: 29.48 Å³/atom
Size of the total moment: 0.000 μB/cell
Formation energy: 1.6569 eV per atom
Density: 7.11 g/cm3

Geometry as CIF:
```
data_Y3TaW
_symmetry_space_group_name_H-M 'P 1'
_symmetry_Int_Tables_number 1
_symmetry_space_group_name_Hall 'P 1'
_cell_length_a 5.282
_cell_length_b 5.282
_cell_length_c 5.282
_cell_angle_alpha 90.00
_cell_angle_beta 90.00
_cell_angle_gamma 90.00
loop_
_atom_site_label
_atom_site_fract_x
_atom_site_fract_y
_atom_site_fract_z
_atom_site_occupancy
Y1 0.500 0.000 0.000 1
Ta1 0.000 0.000 0.000 1
Y2 0.000 0.500 0.000 1
W1 0.500 0.500 0.500 1
Y3 0.000 0.000 0.500 1
```

***

## YTaW (PBE-GGA)

Data for a geometry-optimized YTaW structure.

Values from the calculation:
Space group: I4mm, No. 107
Calculated volume: 21.31 Å³/atom
Size of the total moment: 0.000 μB/cell
Formation energy: 0.2764 eV per atom
Density: 11.79 g/cm3

Geometry as CIF:
```
data_YTaW
_symmetry_space_group_name_H-M 'P 1'
_symmetry_Int_Tables_number 1
_symmetry_space_group_name_Hall 'P 1'
_cell_length_a 5.985
_cell_length_b 5.985
_cell_length_c 5.985
_cell_angle_alpha 146.83
_cell_angle_beta 146.83
_cell_angle_gamma 47.62
loop_
_atom_site_label
_atom_site_fract_x
_atom_site_fract_y
_atom_site_fract_z
_atom_site_occupancy
Y1 0.672 0.672 0.000 1
W1 0.359 0.359 0.000 1
Ta1 0.969 0.969 0.000 1
```

***

## YTa2W (PBE-GGA)

Data for a geometry-optimized YTa2W structure.

Values from the calculation:
Space group: Cmm2, No. 35
Calculated volume: 19.74 Å³/atom
Size of the total moment: 0.000 μB/cell
Formation energy: 0.3273 eV per atom
Density: 13.34 g/cm3

Geometry as CIF:
```
data_YTa2W
_symmetry_space_group_name_H-M 'P 1'
_symmetry_Int_Tables_number 1
_symmetry_space_group_name_Hall 'P 1'
_cell_length_a 2.938
_cell_length_b 2.938
_cell_length_c 9.801
_cell_angle_alpha 90.00
_cell_angle_beta 90.00
_cell_angle_gamma 110.99
loop_
_atom_site_label
_atom_site_fract_x
_atom_site_fract_y
_atom_site_fract_z
_atom_site_occupancy
Ta1 0.500 0.500 0.259 1
Y1 0.500 0.500 0.738 1
Ta2 0.000 0.000 0.026 1
W1 0.000 0.000 0.477 1
```

***

Q: formation energy of number 2 (Y3TaW)?
A: 1.6569 eV per atom

***

Q: Which value of formation energy does entry 3 give?
A: 0.2764 eV per atom